Entry 1:
Hg2TeH6 after structural relaxation, computed with PBE.

```
Hg2TeH6
1.0
-5.470 -0.007 -3.096
-5.013 -9.514 2.498
-2.232 1.141 1.425
Hg H Te
2 6 1
Direct
0.616 0.768 0.500 Hg
0.384 0.232 0.500 Hg
0.508 0.531 0.935 H
0.435 0.000 0.032 H
0.039 0.469 0.935 H
0.492 0.469 0.065 H
0.961 0.531 0.065 H
0.565 0.000 0.968 H
0.000 0.000 0.000 Te
```

## Properties
- Energy: -2.573 eV per atom

Entry 2:
HgTe2H after structural relaxation, computed with PBE.

```
HgTe2H
1.0
2.373 0.000 6.063
-1.186 2.055 6.063
-1.186 -2.055 6.063
H Hg Te
1 1 2
Direct
0.500 0.500 0.500 H
0.000 0.000 0.000 Hg
0.235 0.235 0.235 Te
0.765 0.765 0.765 Te
```

## Properties
- Energy: -1.981 eV per atom

Entry 3:
Hg3TeH after structural relaxation, computed with PBE.

```
Hg3TeH
1.0
4.614 0.000 0.000
0.000 24.580 0.687
0.000 -2.315 5.015
Te Hg H
4 12 4
Direct
0.499 0.600 0.756 Te
0.999 0.900 0.744 Te
0.501 0.400 0.244 Te
0.001 0.100 0.256 Te
0.002 0.256 0.970 Hg
0.998 0.547 0.923 Hg
0.002 0.343 0.571 Hg
0.498 0.756 0.470 Hg
0.998 0.657 0.429 Hg
0.498 0.843 0.071 Hg
0.002 0.453 0.077 Hg
0.502 0.157 0.929 Hg
0.998 0.744 0.030 Hg
0.502 0.047 0.423 Hg
0.498 0.953 0.577 Hg
0.502 0.244 0.530 Hg
0.502 0.454 0.549 H
0.498 0.546 0.451 H
0.998 0.954 0.049 H
0.002 0.046 0.951 H
```

## Properties
- Energy: -1.416 eV per atom

Entry 4:
Hg5Te2H4 after structural relaxation, computed with PBE.

```
Hg5Te2H4
1.0
5.272 2.164 0.394
7.560 11.820 2.057
3.700 4.398 7.184
Hg H Te
5 4 2
Direct
0.500 0.000 0.000 Hg
0.765 0.902 0.670 Hg
0.955 0.183 0.699 Hg
0.235 0.098 0.330 Hg
0.045 0.817 0.301 Hg
0.014 0.537 0.329 H
0.986 0.463 0.671 H
0.273 0.755 0.626 H
0.727 0.245 0.374 H
0.141 0.452 0.796 Te
0.859 0.548 0.204 Te
```

## Properties
- Energy: -1.743 eV per atom

Entry 5:
HgTeH2 after structural relaxation, computed with PBE.

```
HgTeH2
1.0
5.997 0.000 0.000
0.000 5.997 0.000
2.998 2.998 5.063
Te Hg H
2 2 4
Direct
0.500 0.500 0.000 Te
0.250 0.750 0.500 Te
0.750 0.250 0.500 Hg
0.000 0.000 0.000 Hg
0.375 0.625 0.250 H
0.375 0.625 0.750 H
0.375 0.125 0.250 H
0.875 0.625 0.750 H
```

## Properties
- Energy: -2.260 eV per atom

Entry 6:
Tl2HgTe2H after structural relaxation, computed with PBE.

```
Tl2HgTe2H
1.0
6.647 0.000 0.000
0.000 7.240 0.000
-3.323 -3.620 6.983
H Hg Te Tl
2 2 4 4
Direct
0.750 0.000 0.000 H
0.250 0.000 0.000 H
0.250 0.500 0.000 Hg
0.750 0.500 0.000 Hg
0.903 0.088 0.806 Te
0.097 0.912 0.194 Te
0.597 0.282 0.194 Te
0.403 0.718 0.806 Te
0.665 0.920 0.331 Tl
0.165 0.411 0.331 Tl
0.835 0.589 0.669 Tl
0.335 0.080 0.669 Tl
```

## Properties
- Energy: -2.294 eV per atom

Entry 7:
Tl2HgTe2H2 after structural relaxation, computed with PBE.

```
Tl2HgTe2H2
1.0
5.013 0.000 0.000
-2.506 3.495 -0.226
0.000 -1.830 11.980
Tl H Te Hg
2 2 2 1
Direct
0.331 0.662 0.807 Tl
0.669 0.338 0.193 Tl
0.354 0.708 0.334 H
0.646 0.292 0.666 H
0.873 0.747 0.639 Te
0.127 0.253 0.361 Te
0.000 0.000 0.000 Hg
```

## Properties
- Energy: -2.521 eV per atom

Entry 8:
Th3HgH3 after structural relaxation, computed with PBE.

```
Th3HgH3
1.0
-0.964 5.802 2.768
-4.633 -2.568 3.768
4.457 -1.414 4.516
H Th Hg
6 6 2
Direct
0.500 0.750 0.000 H
0.500 0.250 0.000 H
0.250 0.000 0.500 H
0.000 0.500 0.250 H
0.000 0.500 0.750 H
0.750 0.000 0.500 H
0.000 0.250 0.500 Th
0.500 0.000 0.250 Th
0.000 0.750 0.500 Th
0.500 0.000 0.750 Th
0.250 0.500 0.000 Th
0.750 0.500 0.000 Th
0.000 0.000 0.000 Hg
0.500 0.500 0.500 Hg
```

## Properties
- Energy: -4.901 eV per atom

Entry 9:
Th3HgH after structural relaxation, computed with PBE.

```
Th3HgH
1.0
-0.179 -2.827 4.079
0.743 -4.051 -2.775
4.907 0.510 0.569
H Th Hg
1 3 1
Direct
0.000 0.000 0.000 H
0.500 0.000 0.000 Th
0.000 0.000 0.500 Th
0.000 0.500 0.000 Th
0.500 0.500 0.500 Hg
```

## Properties
- Energy: -5.333 eV per atom

Entry 10:
Th2Hg2H after structural relaxation, computed with PBE.

```
Th2Hg2H
1.0
-1.787 -3.217 -0.438
1.785 -0.146 -6.203
9.381 -3.455 2.781
Th Hg H
4 4 2
Direct
0.863 0.956 0.726 Th
0.612 0.980 0.223 Th
0.388 0.480 0.777 Th
0.137 0.456 0.274 Th
0.240 0.828 0.480 Hg
0.002 0.733 0.004 Hg
0.760 0.328 0.520 Hg
0.998 0.233 0.996 Hg
0.616 0.637 0.233 H
0.384 0.137 0.767 H
```

## Properties
- Energy: -3.928 eV per atom

Entry 11:
Th4Hg2H after structural relaxation, computed with PBE.

```
Th4Hg2H
1.0
4.725 0.000 0.000
0.000 4.725 0.000
-2.363 -2.363 8.361
Th Hg H
4 2 1
Direct
0.173 0.173 0.347 Th
0.500 0.000 0.000 Th
0.000 0.500 0.000 Th
0.827 0.827 0.653 Th
0.358 0.358 0.716 Hg
0.642 0.642 0.284 Hg
0.000 0.000 0.000 H
```

## Properties
- Energy: -4.884 eV per atom

Entry 12:
Ti3HgH after structural relaxation, computed with PBE.

```
Ti3HgH
1.0
-2.689 0.348 5.042
1.681 -4.352 1.198
4.081 2.284 2.571
Ti H Hg
6 2 2
Direct
0.268 0.389 0.607 Ti
0.674 0.884 0.312 Ti
0.968 0.395 0.093 Ti
0.770 0.384 0.602 Ti
0.176 0.889 0.307 Ti
0.476 0.895 0.821 Ti
0.918 0.143 0.354 H
0.526 0.643 0.561 H
0.466 0.387 0.107 Hg
0.979 0.887 0.808 Hg
```

## Properties
- Energy: -5.618 eV per atom

Which value of energy does entry 1 give?
-2.573 eV per atom

Which value of energy does entry 1 give?
-2.573 eV per atom

Which formula does entry 11 have?
Th4Hg2H